4
Lattice="3.5833 0.0000 0.0000 0.0000 3.5833 0.0000 0.0000 0.0000 6.5134" Properties=species:S:1:pos:R:3 comment="TmZrAl2 (PBE, optimized geometry)" magmom_total_mub_per_atom=0.00 formation_energy_ev_per_atom=-0.36 e_above_lowest_polymorph_mev_per_atom=0 volume_a3_per_atom=20.91 sg=P4/mmm pbc="T T T"
Tm 0.0000 0.0000 0.0000
Zr 0.0000 0.0000 3.2567
Al 1.7916 1.7916 1.7913
Al 1.7916 1.7916 4.7221